SbAs2Ir PBE relaxed; calculated volume = 75 Å³ per cell; raw formation energy = 406 meV per atom; E = -0.3796 Ry/atom; SG = I-4m2 (119)
1.0
4.936 0.025 0.000
0.907 4.851 0.000
-2.921 -2.438 3.143
Sb As Ir
1 2 1
Cartesian
2.468 0.013 1.572
0.000 0.000 0.000
0.454 2.426 1.572
2.921 2.438 0.000

***

SbAsIr PBE relaxed; calculated volume = 61 Å³ per cell; raw formation energy = 46 meV per atom; E = -0.4286 Ry/atom; SG = I4mm (107)
1.0
6.629 -0.003 0.003
5.893 3.036 -0.001
0.736 0.181 3.034
Sb As Ir
1 1 1
Cartesian
8.904 2.157 0.933
12.047 2.918 0.124
4.830 1.172 1.981

***

SbAs2Ir PBE relaxed; calculated volume = 82 Å³ per cell; raw formation energy = -38 meV per atom; E = -0.4122 Ry/atom; SG = P2/m (10)
1.0
-1.885 1.843 2.755
0.437 -3.740 2.800
4.136 0.143 2.734
Sb As Ir
1 2 1
Cartesian
2.487 -1.777 5.528
0.290 -0.070 0.245
1.996 -1.729 2.522
0.201 0.022 2.761

***

SbAs2Ir PBE relaxed; calculated volume = 75 Å³ per cell; raw formation energy = 450 meV per atom; E = -0.3763 Ry/atom; SG = Fm-3m (225)
1.0
0.000 3.345 3.345
3.345 0.000 3.345
3.345 3.345 0.000
Sb As Ir
1 2 1
Cartesian
0.000 0.000 0.000
1.673 1.673 1.673
5.018 5.018 5.018
3.345 3.345 3.345

***

SbAs2Ir PBE relaxed; calculated volume = 87 Å³ per cell; raw formation energy = 39 meV per atom; E = -0.4066 Ry/atom; SG = Cm (8)
1.0
-4.254 -0.342 1.658
-3.258 -3.157 -0.621
0.146 -3.672 4.598
Sb As Ir
1 2 1
Cartesian
-6.116 -5.567 4.201
-0.259 -0.250 0.195
-1.222 -1.962 1.888
-3.452 -2.978 2.168

***

SbAs2Ir PBE relaxed; calculated volume = 83 Å³ per cell; raw formation energy = 173 meV per atom; E = -0.3967 Ry/atom; SG = Imm2 (44)
1.0
6.394 -0.024 0.023
4.120 4.890 -0.023
-5.023 -2.938 2.649
Sb As Ir
1 2 1
Cartesian
2.624 -0.583 1.336
10.498 4.858 0.000
2.985 2.566 1.313
5.155 2.386 0.000

***

SbAs2Ir PBE relaxed; calculated volume = 84 Å³ per cell; raw formation energy = 71 meV per atom; E = -0.4042 Ry/atom; SG = R3m (160)
1.0
7.211 0.003 0.002
6.232 3.628 0.002
6.232 1.683 3.214
Sb As Ir
1 2 1
Cartesian
14.794 3.996 2.419
0.093 0.025 0.015
4.590 1.240 0.751
10.037 2.711 1.642

***

SbAs2Ir PBE relaxed; calculated volume = 85 Å³ per cell; raw formation energy = 67 meV per atom; E = -0.4045 Ry/atom; SG = R-3m (166)
1.0
8.188 0.048 0.028
7.415 3.475 0.028
7.415 1.674 3.046
Sb As Ir
1 2 1
Cartesian
17.263 3.898 2.327
22.526 5.086 3.036
12.000 2.709 1.617
5.754 1.299 0.776

***

SbAs2Ir PBE relaxed; calculated volume = 81 Å³ per cell; raw formation energy = 198 meV per atom; E = -0.3949 Ry/atom; SG = P4mm (99)
1.0
-1.130 0.208 3.139
-1.315 -3.062 -0.270
6.216 -2.884 2.429
Sb As Ir
1 2 1
Cartesian
3.042 -3.406 3.101
0.491 -0.228 0.192
0.463 -2.209 2.093
2.882 -1.337 1.126

***

SbAs2Ir PBE relaxed; calculated volume = 77 Å³ per cell; raw formation energy = 248 meV per atom; E = -0.3912 Ry/atom; SG = C2/m (12)
1.0
-2.608 -4.902 -1.443
3.058 3.205 -3.645
2.570 -2.303 -1.867
Sb As Ir
1 2 1
Cartesian
2.814 0.451 -2.756
0.000 0.000 0.000
0.225 -0.848 -2.544
-0.019 -3.602 -1.655

***

SbAsIr PBE relaxed; calculated volume = 62 Å³ per cell; raw formation energy = -176 meV per atom; E = -0.4449 Ry/atom; SG = F-43m (216)
1.0
4.433 0.000 0.000
2.216 3.839 0.000
2.216 1.280 3.619
Sb As Ir
1 1 1
Cartesian
0.000 0.000 0.000
4.433 2.559 1.810
6.649 3.839 2.714

***

SbAs2IrSe PBE relaxed; calculated volume = 119 Å³ per cell; raw formation energy = 467 meV per atom; E = -0.3444 Ry/atom; SG = P4/mmm (123)
1.0
-2.528 -3.958 0.455
3.927 -2.566 -0.501
0.755 0.125 5.283
Sb As Ir Se
1 2 1 1
Cartesian
1.077 -3.200 2.619
1.964 -1.283 -0.250
-1.264 -1.979 0.227
0.000 0.000 0.000
0.378 0.062 2.642

***

Sr2SbAs3Ir4 PBE relaxed; calculated volume = 200 Å³ per cell; raw formation energy = -520 meV per atom; E = -0.4563 Ry/atom; SG = P-4m2 (115)
1.0
-2.915 0.203 3.239
3.178 -0.709 2.903
1.591 10.343 0.784
Sr Sb As Ir
2 1 3 4
Cartesian
-1.064 2.655 1.813
2.787 7.435 2.042
0.927 4.919 3.463
0.796 5.172 0.392
-0.075 9.088 2.300
1.797 1.002 1.555
0.131 -0.253 3.071
0.000 0.000 0.000
-0.449 6.658 2.116
2.171 3.433 1.739

***

Th4SbAs2Ir PBE relaxed; calculated volume = 226 Å³ per cell; raw formation energy = -1090 meV per atom; E = -0.5575 Ry/atom; SG = P2/m (10)
1.0
4.225 0.000 0.000
0.000 7.573 0.158
0.000 -2.622 7.021
Th Sb As Ir
4 1 2 1
Cartesian
2.112 1.333 1.865
2.112 3.618 5.314
0.000 0.079 5.417
0.000 4.872 1.762
0.000 0.000 0.000
2.112 -1.311 3.510
0.000 2.476 3.589
2.112 3.786 0.079

***

Th4Sb2AsIr PBE relaxed; calculated volume = 236 Å³ per cell; raw formation energy = -1030 meV per atom; E = -0.5482 Ry/atom; SG = P2/m (10)
1.0
4.258 0.000 0.000
0.000 7.595 0.136
0.000 -2.652 7.265
Th Sb As Ir
4 2 1 1
Cartesian
2.129 1.276 1.686
2.129 3.667 5.716
0.000 0.017 5.753
0.000 4.926 1.649
2.129 -1.326 3.632
0.000 2.472 3.701
0.000 0.000 0.000
2.129 3.798 0.068

***

ZnSb2AsIr PBE relaxed; calculated volume = 125 Å³ per cell; raw formation energy = 351 meV per atom; E = -0.3128 Ry/atom; SG = P4/mmm (123)
1.0
-1.328 -0.890 4.883
-3.075 -3.302 -1.438
3.675 -3.574 0.348
Sb As Ir Zn
2 1 1 1
Cartesian
1.837 -1.787 0.174
-0.664 -0.445 2.441
-0.364 -3.883 1.896
0.000 0.000 0.000
-1.537 -1.651 -0.719

***

ScAs3Ir PBE relaxed; calculated volume = 120 Å³ per cell; energy of formation from the pure elements = 5.04 eV per formula unit; E = -0.3543 Ry/atom; SG = Pm-3m (221)
1.0
-3.186 -0.767 -3.693
0.102 -4.850 0.920
-3.771 0.517 3.145
Sc As Ir
1 3 1
Cartesian
0.000 0.000 0.000
0.051 -2.425 0.460
-1.885 0.258 1.573
-1.593 -0.384 -1.847
-3.427 -2.550 0.186

***

ScAsIr2 PBE relaxed; calculated volume = 67 Å³ per cell; energy of formation from the pure elements = -1.18 eV per formula unit; E = -0.5492 Ry/atom; SG = P4mm (99)
1.0
3.059 0.000 0.000
0.000 3.059 0.000
0.000 0.000 7.163
As Ir Sc
1 2 1
Cartesian
1.530 1.530 5.683
0.000 0.000 6.988
1.530 1.530 1.805
0.000 0.000 3.431

***

Sc2As2Ir PBE relaxed; calculated volume = 177 Å³ per cell; energy of formation from the pure elements = -4.45 eV per formula unit; E = -0.5186 Ry/atom; SG = P4/mbm (127)
1.0
-1.876 -1.834 -6.107
6.371 -0.785 -1.722
-0.148 -3.815 1.191
Sc As Ir
4 4 2
Cartesian
3.863 -2.738 -1.574
3.980 -3.785 -4.913
0.484 -3.696 -5.063
0.367 -2.649 -1.725
4.787 -1.326 -3.650
2.495 -2.076 -6.337
-0.292 -1.293 -4.179
2.000 -0.543 -1.491
0.000 0.000 0.000
2.247 -1.309 -3.914

***

ScAsIr2 PBE relaxed; calculated volume = 187 Å³ per cell; energy of formation from the pure elements = 0.35 eV per formula unit; E = -0.5209 Ry/atom; SG = I-42d (122)
1.0
-3.497 4.641 -0.019
-2.171 -1.657 -5.129
-6.751 -1.450 0.034
Sc As Ir
2 2 4
Cartesian
-2.834 1.492 -2.574
-5.878 -0.808 -3.834
0.000 0.000 0.000
-6.541 2.341 -1.279
-4.283 2.514 -0.645
-3.344 -1.001 -3.199
-7.104 0.097 -1.703
-10.109 1.458 -4.681

***

Sc2AsIr PBE relaxed; calculated volume = 72 Å³ per cell; energy of formation from the pure elements = -3.40 eV per formula unit; E = -0.5434 Ry/atom; SG = I-4m2 (119)
1.0
5.551 -0.002 0.000
2.891 4.739 0.000
-4.221 -2.368 2.718
As Ir Sc
1 1 2
Cartesian
4.221 2.368 0.000
2.776 -0.001 1.359
0.000 0.000 0.000
1.446 2.369 1.359

***

Sc2AsIr PBE relaxed; calculated volume = 74 Å³ per cell; energy of formation from the pure elements = -4.24 eV per formula unit; E = -0.5588 Ry/atom; SG = Amm2 (38)
1.0
-3.561 -0.253 2.177
1.632 -1.899 2.449
2.032 3.298 3.707
As Ir Sc
1 1 2
Cartesian
2.083 0.155 3.425
0.730 1.511 5.385
3.448 1.115 5.769
-0.661 0.462 2.988

***

ScAsIr2 PBE relaxed; calculated volume = 63 Å³ per cell; energy of formation from the pure elements = -1.82 eV per formula unit; E = -0.5609 Ry/atom; SG = Imm2 (44)
1.0
-1.703 2.607 4.002
-0.221 -2.626 4.332
3.519 0.741 -3.575
As Ir Sc
1 2 1
Cartesian
1.165 -0.948 2.474
-1.922 -0.019 8.323
0.428 1.669 2.291
-0.963 -0.010 4.171

***

ScAsIr2 PBE relaxed; calculated volume = 65 Å³ per cell; energy of formation from the pure elements = -1.67 eV per formula unit; E = -0.5581 Ry/atom; SG = Pmm2 (25)
1.0
3.051 0.000 0.000
0.000 3.955 0.000
0.000 0.000 5.419
As Ir Sc
1 2 1
Cartesian
1.525 1.978 4.334
0.000 0.000 5.211
1.525 1.978 1.439
0.000 0.000 2.563

***

Sc4AsIr PBE relaxed; calculated volume = 119 Å³ per cell; energy of formation from the pure elements = 1.24 eV per formula unit; E = -0.4605 Ry/atom; SG = F-43m (216)
1.0
-1.648 -5.241 0.482
-5.144 -1.134 1.635
-3.635 -2.088 -3.584
Sc As Ir
4 1 1
Cartesian
-4.731 -5.805 -0.306
-5.731 -4.218 -2.353
-6.491 -3.738 0.274
-3.901 -3.167 -0.549
-7.821 -6.348 -1.101
0.000 0.000 0.000

***

Sc2AsIr PBE relaxed; calculated volume = 72 Å³ per cell; energy of formation from the pure elements = -3.58 eV per formula unit; E = -0.5467 Ry/atom; SG = Cmmm (65)
1.0
-0.171 -7.077 -1.721
1.708 1.932 3.703
-1.878 -2.194 2.008
As Ir Sc
1 1 2
Cartesian
-0.085 -0.131 2.856
0.769 -2.572 0.991
0.000 0.000 0.000
-1.024 -4.635 0.144

***

ScAsIr2 PBE relaxed; calculated volume = 64 Å³ per cell; energy of formation from the pure elements = -1.79 eV per formula unit; E = -0.5604 Ry/atom; SG = Pm (6)
1.0
4.118 0.000 0.000
0.000 2.982 0.005
0.000 1.489 5.247
As Ir Sc
1 2 1
Cartesian
2.059 3.910 3.903
0.000 3.915 5.215
2.059 0.932 1.334
0.000 2.423 2.679

***

ScAsIr2 PBE relaxed; calculated volume = 67 Å³ per cell; energy of formation from the pure elements = -0.28 eV per formula unit; E = -0.5325 Ry/atom; SG = R3m (160)
1.0
8.594 -0.003 -0.002
8.061 2.978 -0.002
8.061 1.440 2.606
As Ir Sc
1 2 1
Cartesian
18.379 3.283 1.936
0.124 0.022 0.013
6.132 1.095 0.646
12.439 2.222 1.310

***

Sc3AsIr PBE relaxed; calculated volume = 125 Å³ per cell; energy of formation from the pure elements = -1.74 eV per formula unit; E = -0.5034 Ry/atom; SG = Pm-3m (221)
1.0
4.997 0.000 0.000
0.000 4.997 0.000
0.000 0.000 4.997
Sc As Ir
3 1 1
Cartesian
0.000 2.499 0.000
0.000 0.000 2.499
2.499 0.000 0.000
2.499 2.499 2.499
0.000 0.000 0.000